# 1
This record from Alexandria describes crystalline CaScIr2 at its relaxed geometry. The functional is PBE-GGA.

```
CaScIr2
1.0
5.3914 -1.4721 0.0000
5.3914 1.4721 0.0000
-1.2604 0.0000 4.7450
Ca Sc Ir
1 1 2
Cartesian
0.0000 0.0000 0.0000
8.1857 0.0000 1.7771
1.5441 0.0000 3.9406
5.2420 0.0000 2.4848
```

Computed properties:
- SG = Cm (8)
- E_tot (eV per cell) = -27.64
- magnetic moment (μB/atom) = 0.00
- calculated formation energy (eV/atom) = -0.3967

---

# 2
This record from Alexandria describes crystalline CaSc3Ir at its relaxed geometry. The functional is PBE-GGA.

```
CaSc3Ir
1.0
5.1454 0.0000 0.0000
0.0000 5.1454 0.0000
0.0000 0.0000 5.1454
Ca Sc Ir
1 3 1
Cartesian
0.0000 0.0000 0.0000
0.0000 2.5727 2.5727
2.5727 0.0000 2.5727
2.5727 2.5727 0.0000
2.5727 2.5727 2.5727
```

Computed properties:
- SG = Pm-3m (221)
- E_tot (eV per cell) = -31.44
- distance to the lowest polymorph of the same formula (meV/atom) = 0
- magnetic moment (μB/atom) = 0.00
- calculated formation energy (eV/atom) = -0.3175

---

# 3
This record from Alexandria describes crystalline Ca2Sc2Ir at its relaxed geometry. The functional is PBE-GGA.

```
Ca2Sc2Ir
1.0
-1.8825 1.8825 9.6265
1.8825 -1.8825 9.6265
1.8825 1.8825 -9.6265
Ca Sc Ir
2 2 1
Cartesian
0.0000 0.0000 1.5954
0.0000 0.0000 17.6576
1.8825 0.0000 4.8132
0.0000 1.8825 4.8132
0.0000 0.0000 9.6265
```

Computed properties:
- SG = I4/mmm (139)
- E_tot (eV per cell) = -23.61
- distance to the lowest polymorph of the same formula (meV/atom) = 550
- magnetic moment (μB/atom) = 0.00
- calculated formation energy (eV/atom) = 0.3831

---

Copy entry 2 word for word.
This record from Alexandria describes crystalline CaSc3Ir at its relaxed geometry. The functional is PBE-GGA.

```
CaSc3Ir
1.0
5.1454 0.0000 0.0000
0.0000 5.1454 0.0000
0.0000 0.0000 5.1454
Ca Sc Ir
1 3 1
Cartesian
0.0000 0.0000 0.0000
0.0000 2.5727 2.5727
2.5727 0.0000 2.5727
2.5727 2.5727 0.0000
2.5727 2.5727 2.5727
```

Computed properties:
- SG = Pm-3m (221)
- E_tot (eV per cell) = -31.44
- distance to the lowest polymorph of the same formula (meV/atom) = 0
- magnetic moment (μB/atom) = 0.00
- calculated formation energy (eV/atom) = -0.3175